DFT (GGA-PBEsol) results for a relaxed structure of Na2CdSn.

```
Na2CdSn
1.0
4.950 0.000 0.000
-2.475 4.287 0.000
0.000 0.000 9.971
Cd Na Sn
2 4 2
direct
0.000 0.000 0.750 Cd
0.000 0.000 0.250 Cd
0.333 0.667 0.081 Na
0.667 0.333 0.581 Na
0.667 0.333 0.919 Na
0.333 0.667 0.419 Na
0.333 0.667 0.750 Sn
0.667 0.333 0.250 Sn
```

Calculated values
The space group is P6_3/mmc, No. 194. Its formation enthalpy at 0 K is -0.8 eV per formula unit.